Entry 1:
CdCu2Re, relaxed, DFT PBE-GGA; magnetization = 0.0 μB per cell; density of states at the Fermi level = 0.4533 states/eV/atom; ΔE_f = 0.387 eV per atom; E = -20.006 eV for the cell shown
1.0
5.049 -1.310 0.000
5.049 1.310 0.000
-1.928 0.000 4.450
Cd Cu Re
1 2 1
Direct
0.000 0.000 0.000
0.243 0.243 0.885
0.512 0.512 0.500
0.766 0.766 0.410



Entry 2:
Ba2HfPdS5, relaxed, DFT PBE-GGA; magnetization = 0.0 μB per cell; density of states at the Fermi level = 0.5347 states/eV/atom; E = -105.083 eV for the cell shown; formation energy (no corrections) = -1435 meV/atom
1.0
1.954 -8.989 0.000
1.954 8.989 0.000
0.000 0.000 12.808
Ba Hf Pd S
4 2 2 10
Direct
0.122 0.878 0.500
0.125 0.875 0.135
0.875 0.125 0.635
0.878 0.122 0.000
0.194 0.806 0.827
0.806 0.194 0.327
0.441 0.559 0.253
0.559 0.441 0.753
0.049 0.951 0.856
0.299 0.701 0.461
0.307 0.693 0.190
0.333 0.667 0.819
0.497 0.503 0.084
0.503 0.497 0.584
0.667 0.333 0.319
0.693 0.307 0.690
0.701 0.299 0.961
0.951 0.049 0.356